# 1
This record from the Alexandria database describes a PBEsol-optimized structure of SrP2SN. The functional is SCAN.

Geometry as POSCAR:
```
SrP2SN
1.0
6.0785 0.0000 0.0000
0.0000 6.0785 0.0000
0.0000 0.0000 5.5433
Sr P S N
1 2 1 1
direct
0.0000 0.0000 0.0000 Sr
0.0000 0.5000 0.0000 P
0.5000 0.0000 0.0000 P
0.0000 0.0000 0.5000 S
0.5000 0.5000 0.5000 N
```

Properties
theoretical density	1586	kg/m³
formation energy without anion corrections	1776	meV per atom
DOS at the Fermi energy	1.33	states/eV per atom

***

# 2
This record from the Alexandria database describes a PBEsol-optimized structure of NiOs3C. The functional is SCAN.

Geometry as POSCAR:
```
NiOs3C
1.0
4.3472 0.0000 0.0000
0.0000 4.3472 0.0000
0.0000 0.0000 4.3472
Ni Os C
1 3 1
direct
0.0000 0.0000 0.0000 Ni
0.0000 0.0000 0.5000 Os
0.0000 0.5000 0.0000 Os
0.5000 0.0000 0.0000 Os
0.5000 0.5000 0.5000 C
```

Properties
theoretical density	12964	kg/m³
DOS at the Fermi energy	0.99	states/eV per atom
ΔE_f	3413	meV per atom

***

# 3
This record from the Alexandria database describes a PBEsol-optimized structure of Ba2MgSb. The functional is SCAN.

Geometry as POSCAR:
```
Ba2MgSb
1.0
-4.6832 4.6832 3.8911
4.6832 -4.6832 3.8911
4.6832 4.6832 -3.8911
Ba Mg Sb
4 2 2
direct
0.1004 0.6250 0.9754 Ba
0.3750 0.3504 0.4754 Ba
0.6496 0.1250 0.0246 Ba
0.8750 0.8996 0.5246 Ba
0.2500 0.7500 0.5000 Mg
0.5000 0.5000 0.0000 Mg
0.0000 0.0000 0.0000 Sb
0.7500 0.2500 0.5000 Sb
```

Properties
theoretical density	4093	kg/m³
formation energy without anion corrections	-319	meV per atom
DOS at the Fermi energy	0.39	states/eV per atom
distance to the lowest polymorph of the same formula	0.0	meV per atom

***

# 4
This record from the Alexandria database describes a PBEsol-optimized structure of LiMnPO4. The functional is SCAN.

Geometry as POSCAR:
```
LiMnPO4
1.0
4.8722 -2.4537 0.0000
4.8722 2.4537 0.0000
-1.6661 0.0000 6.3202
Li Mn P O
2 2 2 8
direct
0.0000 0.0000 0.0000 Li
0.9708 0.0292 0.5000 Li
0.2939 0.4156 0.7771 Mn
0.5844 0.7061 0.2229 Mn
0.2565 0.3928 0.2721 P
0.6072 0.7435 0.7279 P
0.0183 0.3145 0.1726 O
0.1534 0.5797 0.4876 O
0.2450 0.5902 0.1242 O
0.4098 0.7550 0.8758 O
0.4203 0.8466 0.5124 O
0.5872 0.0997 0.2923 O
0.6855 0.9817 0.8274 O
0.9003 0.4128 0.7077 O
```

Properties
theoretical density	3447	kg/m³
formation energy without anion corrections	-2435	meV per atom
DOS at the Fermi energy	0.00	states/eV per atom
distance to the lowest polymorph of the same formula	52.5	meV per atom